The following is a DFT calculation (PBE) of crystalline Y2ZnCrFe at its relaxed geometry.

The structure in CIF format:
```
data_Y2ZnCrFe
_space_group_name_H-M_alt 'P 4/m m m'
_space_group_IT_number 123
_space_group_name_Hall '-P 4 2'
_cell_length_a 5.320
_cell_length_b 5.320
_cell_length_c 4.362
_cell_angle_alpha 90.00
_cell_angle_beta 90.00
_cell_angle_gamma 90.00
loop_
_atom_site_label
_atom_site_type_symbol
_atom_site_fract_x
_atom_site_fract_y
_atom_site_fract_z
_atom_site_occupancy
Y1 Y 0.000 0.500 0.000 1
Zn1 Zn 0.000 0.000 0.000 1
Cr1 Cr 0.500 0.500 0.500 1
Fe1 Fe 0.000 0.000 0.500 1
```

Computed properties:
For the density of states at the Fermi level, the calculation gives 1.92 states/eV per atom. The value obtained for the magnetization is 0.901 μB per atom.

=====

The following is a DFT calculation (PBE) of crystalline Cd3FeRe at its relaxed geometry.

The structure in CIF format:
```
data_Cd3FeRe
_space_group_name_H-M_alt 'P m -3 m'
_space_group_IT_number 221
_space_group_name_Hall '-P 4 2 3'
_cell_length_a 4.866
_cell_length_b 4.866
_cell_length_c 4.866
_cell_angle_alpha 90.00
_cell_angle_beta 90.00
_cell_angle_gamma 90.00
loop_
_atom_site_label
_atom_site_type_symbol
_atom_site_fract_x
_atom_site_fract_y
_atom_site_fract_z
_atom_site_occupancy
Cd1 Cd 0.000 0.000 0.500 1
Fe1 Fe 0.000 0.000 0.000 1
Re1 Re 0.500 0.500 0.500 1
```

Computed properties:
For the density of states at the Fermi level, the calculation gives 0.52 states/eV per atom. The value obtained for the magnetization is 1.114 μB per atom.

=====

The following is a DFT calculation (PBE) of crystalline SrGa2Hg2 at its relaxed geometry.

The structure in CIF format:
```
data_SrGa2Hg2
_space_group_name_H-M_alt 'P 4/m b m'
_space_group_IT_number 127
_space_group_name_Hall '-P 4 2ab'
_cell_length_a 8.260
_cell_length_b 8.260
_cell_length_c 3.702
_cell_angle_alpha 90.00
_cell_angle_beta 90.00
_cell_angle_gamma 90.00
loop_
_atom_site_label
_atom_site_type_symbol
_atom_site_fract_x
_atom_site_fract_y
_atom_site_fract_z
_atom_site_occupancy
Sr1 Sr 0.000 0.000 0.000 1
Ga1 Ga 0.120 0.380 0.000 1
Hg1 Hg 0.172 0.672 0.500 1
```

Computed properties:
For the density of states at the Fermi level, the calculation gives 0.51 states/eV per atom. The value obtained for the magnetization is 0.000 μB per atom.

=====

The following is a DFT calculation (PBE) of crystalline Ba3DyU2O9 at its relaxed geometry.

The structure in CIF format:
```
data_Ba3DyU2O9
_space_group_name_H-M_alt 'P -3 m 1'
_space_group_IT_number 164
_space_group_name_Hall '-P 3 2"'
_cell_length_a 6.2534
_cell_length_b 6.2534
_cell_length_c 7.6693
_cell_angle_alpha 90.00
_cell_angle_beta 90.00
_cell_angle_gamma 120.00
loop_
_atom_site_label
_atom_site_type_symbol
_atom_site_fract_x
_atom_site_fract_y
_atom_site_fract_z
_atom_site_occupancy
Ba1 Ba 0.0000 0.0000 0.0000 1
Ba2 Ba 0.3333 0.6667 0.6585 1
Dy1 Dy 0.0000 0.0000 0.5000 1
U1 U 0.3333 0.6667 0.1687 1
O1 O 0.0000 0.5000 0.0000 1
O2 O 0.1699 0.3399 0.3303 1
```

Computed properties:
For the density of states at the Fermi level, the calculation gives 0.53 states/eV per atom. The value obtained for the magnetization is 0.200 μB per atom.

=====

The following is a DFT calculation (PBE) of crystalline TaIr3F at its relaxed geometry.

The structure in CIF format:
```
data_TaIr3F
_space_group_name_H-M_alt 'P m -3 m'
_space_group_IT_number 221
_space_group_name_Hall '-P 4 2 3'
_cell_length_a 4.821
_cell_length_b 4.821
_cell_length_c 4.821
_cell_angle_alpha 90.00
_cell_angle_beta 90.00
_cell_angle_gamma 90.00
loop_
_atom_site_label
_atom_site_type_symbol
_atom_site_fract_x
_atom_site_fract_y
_atom_site_fract_z
_atom_site_occupancy
Ta1 Ta 0.000 0.000 0.000 1
Ir1 Ir 0.000 0.000 0.500 1
F1 F 0.500 0.500 0.500 1
```

Computed properties:
For the density of states at the Fermi level, the calculation gives 2.51 states/eV per atom. The value obtained for the magnetization is 0.432 μB per atom.

=====

The following is a DFT calculation (PBE) of crystalline Pr2NpS5 at its relaxed geometry.

The structure in CIF format:
```
data_Pr2NpS5
_space_group_name_H-M_alt 'P n m a'
_space_group_IT_number 62
_cell_length_a 11.987
_cell_length_b 8.123
_cell_length_c 7.551
_cell_angle_alpha 90.00
_cell_angle_beta 90.00
_cell_angle_gamma 90.00
loop_
_space_group_symop_operation_xyz
'x,y,z'
'-x,-y,-z'
'-x+1/2,-y,z+1/2'
'x+1/2,y,-z+1/2'
'x+1/2,-y+1/2,-z+1/2'
'-x+1/2,y+1/2,z+1/2'
'-x,y+1/2,-z'
'x,-y+1/2,z'
loop_
_atom_site_label
_atom_site_type_symbol
_atom_site_fract_x
_atom_site_fract_y
_atom_site_fract_z
_atom_site_occupancy
Pr1 Pr 0.176 0.000 0.027 1
Np1 Np 0.005 0.250 0.561 1
S1 S 0.001 0.250 0.951 1
S2 S 0.093 0.537 0.663 1
S3 S 0.187 0.250 0.333 1
S4 S 0.212 0.750 0.309 1
```

Computed properties:
For the density of states at the Fermi level, the calculation gives 0.91 states/eV per atom. The value obtained for the magnetization is 0.375 μB per atom.

=====

Number 1: calculated total energy -28.1 eV/cell. Number 2: calculated total energy -16.1 eV/cell. Number 3: calculated total energy -18.4 eV/cell. Number 4: calculated total energy -125.0 eV/cell. Number 5: calculated total energy -32.0 eV/cell. Number 6: calculated total energy -230.0 eV/cell.